Entry 1:
Material: Rb2AgBiI6
Method: DFT, PBE-GGA
State: optimized geometry

abc: 8.6179 8.6179 8.6179
angles: 60.00 60.00 60.00
Fractional positions:
Rb: 0.2500 0.2500 0.2500
Rb: 0.7500 0.7500 0.7500
Ag: 0.0000 0.0000 0.0000
Bi: 0.5000 0.5000 0.5000
I: 0.2466 0.2466 0.7534
I: 0.2466 0.7534 0.2466
I: 0.2466 0.7534 0.7534
I: 0.7534 0.2466 0.2466
I: 0.7534 0.2466 0.7534
I: 0.7534 0.7534 0.2466

## Properties
The calculation puts the distance to the lowest polymorph of the same formula at 2.71 kJ/mol of atoms. The total moment comes out at 0.0 μB per formula unit. Its energy relative to the elements, uncorrected is -799 meV per atom. Its space group is No. 225. As for the calculated total energy: -2.596 eV/atom.

Entry 2:
Material: Rb2AgBiI6
Method: DFT, PBE-GGA
State: optimized geometry

abc: 8.3817 8.6689 14.5626
angles: 90.00 124.90 90.00
Fractional positions:
Rb: 0.2244 0.0747 0.2480
Rb: 0.2244 0.4253 0.7480
Rb: 0.7756 0.5747 0.2520
Rb: 0.7756 0.9253 0.7520
Ag: 0.0000 0.0000 0.5000
Ag: 0.0000 0.5000 0.0000
Bi: 0.5000 0.0000 0.0000
Bi: 0.5000 0.5000 0.5000
I: 0.1555 0.2033 0.9570
I: 0.1555 0.2967 0.4570
I: 0.2606 0.7003 0.9608
I: 0.2606 0.7997 0.4608
I: 0.3303 0.0076 0.7456
I: 0.3303 0.4924 0.2456
I: 0.6697 0.5076 0.7544
I: 0.6697 0.9924 0.2544
I: 0.7394 0.2003 0.5392
I: 0.7394 0.2997 0.0392
I: 0.8445 0.7033 0.5430
I: 0.8445 0.7967 0.0430

## Properties
The calculation puts the distance to the lowest polymorph of the same formula at 0.00 kJ/mol of atoms. The total moment comes out at 0.0 μB per formula unit. Its energy relative to the elements, uncorrected is -827 meV per atom. Its space group is No. 14. As for the calculated total energy: -2.624 eV/atom.

Entry 3:
Material: AgBiSI2
Method: DFT, PBE-GGA
State: optimized geometry

abc: 7.7293 7.7293 9.8034
angles: 90.00 90.00 148.25
Fractional positions:
Ag: 0.0000 0.0000 0.0000
Ag: 0.0000 0.0000 0.5000
Bi: 0.3105 0.6895 0.7500
Bi: 0.6895 0.3105 0.2500
S: 0.0756 0.9244 0.2500
S: 0.9244 0.0756 0.7500
I: 0.3550 0.6450 0.0647
I: 0.3550 0.6450 0.4353
I: 0.6450 0.3550 0.5647
I: 0.6450 0.3550 0.9353

## Properties
The total moment comes out at 0.0 μB per formula unit. Its energy relative to the elements, uncorrected is -262 meV per atom. Its space group is No. 63. As for the calculated total energy: -3.054 eV/atom. The calculation puts the density of states at the Fermi level at 0.116 states/eV/atom.